No. 1
Density functional theory data (GGA-PBE) for Tb2Ho2Tm after structural relaxation.

Output
Space group ... No. 38
DOS at the Fermi energy ... 8.876 states/eV/cell

Lattice parameters (Å, degrees): 3.4887 8.5499 8.5499 38.70 90.00 90.00
Fractional coordinates of all 5 atoms:
Tb (0.0000, 0.0000, 0.0000)
Tb (0.5000, 0.1905, 0.1905)
Ho (0.0000, 0.3818, 0.3818)
Ho (0.5000, 0.8095, 0.8095)
Tm (0.0000, 0.6191, 0.6191)

No. 2
Density functional theory data (GGA-PBE) for Tb8Ho5Tm after structural relaxation.

Output
Space group ... No. 82
DOS at the Fermi energy ... 20.847 states/eV/cell

Lattice parameters (Å, degrees): 8.3980 8.3980 8.3980 110.94 110.94 106.58
Fractional coordinates of all 14 atoms:
Tb (0.1722, 0.4087, 0.5864)
Tb (0.3310, 0.2254, 0.2451)
Tb (0.4142, 0.8278, 0.2365)
Tb (0.5913, 0.1777, 0.7635)
Tb (0.7746, 0.0197, 0.1056)
Tb (0.8223, 0.5858, 0.4136)
Tb (0.9141, 0.6690, 0.8944)
Tb (0.9803, 0.0859, 0.7549)
Ho (0.0653, 0.4656, 0.1813)
Ho (0.1160, 0.9347, 0.4003)
Ho (0.2843, 0.8840, 0.8187)
Ho (0.5344, 0.7157, 0.5997)
Ho (0.7500, 0.2500, 0.5000)
Tm (0.5000, 0.5000, 0.0000)

no.,ΔH_f (0 K) (meV per atom),density (Mg/m³)
1,127,8.50
2,259,8.26